No. 1
A relaxed structure of GeSF2. Source: Alexandria, functional GGA-PBEsol.

Output
Formation energy (no corrections), meV per atom: -813
Density of states at the Fermi level, states/eV/cell: 6.86

a = 3.693 Å, b = 3.693 Å, c = 15.377 Å
α = 90.00°, β = 90.00°, γ = 90.00°
Space group I-42d (No. 122)
One atom of each set of equivalent atoms:
Ge (0.000, 0.000, 0.000) [4 per cell]
S (0.000, 0.000, 0.500) [4 per cell]
F (0.240, 0.250, 0.125) [8 per cell]

No. 2
A relaxed structure of KTa2Si. Source: Alexandria, functional GGA-PBEsol.

Output
Formation energy (no corrections), meV per atom: 1030
Density of states at the Fermi level, states/eV/cell: 6.92

a = 6.065 Å, b = 9.979 Å, c = 2.743 Å
α = 90.00°, β = 114.70°, γ = 90.00°
Space group C2/m (No. 12)
One atom of each set of equivalent atoms:
K (0.000, 0.000, 0.000) [2 per cell]
Ta (0.250, 0.250, 0.500) [4 per cell]
Si (0.000, 0.500, 0.000) [2 per cell]

No. 3
A relaxed structure of Sr4TlBr. Source: Alexandria, functional GGA-PBEsol.

Output
Formation energy (no corrections), meV per atom: 75
Density of states at the Fermi level, states/eV/cell: 21.61

a = 10.132 Å, b = 10.132 Å, c = 10.132 Å
α = 90.00°, β = 90.00°, γ = 90.00°
Space group F-43m (No. 216)
One atom of each set of equivalent atoms:
Sr (0.124, 0.124, 0.376) [16 per cell]
Tl (0.250, 0.250, 0.750) [4 per cell]
Br (0.000, 0.000, 0.000) [4 per cell]

No. 4
A relaxed structure of InCu2CI. Source: Alexandria, functional GGA-PBEsol.

Output
Formation energy (no corrections), meV per atom: 1748
Density of states at the Fermi level, states/eV/cell: 2.79

a = 4.887 Å, b = 4.887 Å, c = 4.254 Å
α = 90.00°, β = 90.00°, γ = 90.00°
Space group P4/mmm (No. 123)
One atom of each set of equivalent atoms:
In (0.000, 0.000, 0.000) [1 per cell]
Cu (0.000, 0.500, 0.500) [2 per cell]
C (0.500, 0.500, 0.000) [1 per cell]
I (0.500, 0.500, 0.500) [1 per cell]

No. 5
A relaxed structure of CsSr2RuRh. Source: Alexandria, functional GGA-PBEsol.

Output
ΔH_f (0 K), eV per atom: 1.0382
Density of states at the Fermi level, states/eV/cell: 7.47

a = 5.590 Å, b = 5.590 Å, c = 5.517 Å
α = 90.00°, β = 90.00°, γ = 90.00°
Space group P4/mmm (No. 123)
One atom of each set of equivalent atoms:
Cs (0.000, 0.000, 0.000) [1 per cell]
Sr (0.000, 0.500, 0.500) [2 per cell]
Ru (0.500, 0.500, 0.000) [1 per cell]
Rh (0.000, 0.000, 0.500) [1 per cell]

No. 6
A relaxed structure of Y2Ni2Sb. Source: Alexandria, functional GGA-PBEsol.

Output
Formation energy (no corrections), meV per atom: -664
Density of states at the Fermi level, states/eV/cell: 6.71

a = 7.016 Å, b = 7.016 Å, c = 3.885 Å
α = 90.00°, β = 90.00°, γ = 90.00°
Space group P4/mbm (No. 127)
One atom of each set of equivalent atoms:
Y (0.176, 0.324, 0.000) [4 per cell]
Ni (0.121, 0.621, 0.500) [4 per cell]
Sb (0.000, 0.000, 0.500) [2 per cell]

No. 7
A relaxed structure of LiCoSb2. Source: Alexandria, functional GGA-PBEsol.

Output
Formation energy (no corrections), meV per atom: -144
Density of states at the Fermi level, states/eV/cell: 1.13
Relative energy among the computed polymorphs, meV/atom: 0

a = 3.119 Å, b = 3.118 Å, c = 7.484 Å
α = 90.00°, β = 90.09°, γ = 90.00°
Space group P2/m (No. 10)
One atom of each set of equivalent atoms:
Li (0.000, 0.000, 0.000) [1 per cell]
Co (0.000, 0.000, 0.500) [1 per cell]
Sb (0.500, 0.500, 0.290) [2 per cell]

No. 8
A relaxed structure of Li2SiNiO4. Source: Alexandria, functional GGA-PBEsol.

Output
Formation energy (no corrections), meV per atom: -1985
Density of states at the Fermi level, states/eV/cell: 8.29
Relative energy among the computed polymorphs, meV/atom: 23

a = 5.049 Å, b = 5.405 Å, c = 12.208 Å
α = 86.43°, β = 89.72°, γ = 86.77°
Space group P1 (No. 1)
One atom of each set of equivalent atoms:
Li (0.000, 0.000, 0.000) [1 per cell]
Li (0.000, 0.001, 0.500) [1 per cell]
Li (0.104, 0.483, 0.361) [1 per cell]
Li (0.104, 0.483, 0.861) [1 per cell]
Li (0.518, 0.151, 0.121) [1 per cell]
Li (0.518, 0.151, 0.621) [1 per cell]
Li (0.617, 0.640, 0.233) [1 per cell]
Li (0.617, 0.640, 0.733) [1 per cell]
Si (0.130, 0.493, 0.112) [1 per cell]
Si (0.131, 0.494, 0.612) [1 per cell]
Si (0.491, 0.140, 0.371) [1 per cell]
Si (0.492, 0.140, 0.871) [1 per cell]
Ni (0.008, 0.976, 0.247) [1 per cell]
Ni (0.008, 0.977, 0.747) [1 per cell]
Ni (0.620, 0.652, 0.975) [1 per cell]
Ni (0.621, 0.651, 0.475) [1 per cell]
O (0.000, 0.627, 0.218) [1 per cell]
O (0.000, 0.627, 0.718) [1 per cell]
O (0.004, 0.626, 0.997) [1 per cell]
O (0.004, 0.627, 0.497) [1 per cell]
O (0.095, 0.191, 0.123) [1 per cell]
O (0.095, 0.191, 0.622) [1 per cell]
O (0.166, 0.125, 0.368) [1 per cell]
O (0.167, 0.124, 0.868) [1 per cell]
O (0.454, 0.520, 0.108) [1 per cell]
O (0.455, 0.520, 0.608) [1 per cell]
O (0.534, 0.439, 0.363) [1 per cell]
O (0.534, 0.440, 0.863) [1 per cell]
O (0.614, 0.013, 0.487) [1 per cell]
O (0.614, 0.013, 0.987) [1 per cell]
O (0.619, 0.999, 0.265) [1 per cell]
O (0.620, 0.999, 0.765) [1 per cell]

No. 9
A relaxed structure of Sr2CO. Source: Alexandria, functional GGA-PBEsol.

Output
Formation energy (no corrections), meV per atom: -313
Density of states at the Fermi level, states/eV/cell: 9.01
Relative energy among the computed polymorphs, meV/atom: 219

a = 6.452 Å, b = 6.452 Å, c = 6.452 Å
α = 90.00°, β = 90.00°, γ = 90.00°
Space group Fm-3m (No. 225)
One atom of each set of equivalent atoms:
Sr (0.250, 0.250, 0.250) [8 per cell]
C (0.000, 0.000, 0.000) [4 per cell]
O (0.000, 0.000, 0.500) [4 per cell]

No. 10
A relaxed structure of TaInN2F. Source: Alexandria, functional GGA-PBEsol.

Output
Formation energy (no corrections), meV per atom: -761
Density of states at the Fermi level, states/eV/cell: 1.61

a = 4.092 Å, b = 4.092 Å, c = 4.047 Å
α = 90.00°, β = 90.00°, γ = 90.00°
Space group P4/mmm (No. 123)
One atom of each set of equivalent atoms:
Ta (0.000, 0.000, 0.000) [1 per cell]
In (0.500, 0.500, 0.500) [1 per cell]
N (0.000, 0.500, 0.000) [2 per cell]
F (0.000, 0.000, 0.500) [1 per cell]

No. 11
A relaxed structure of RbAg5Se3. Source: Alexandria, functional GGA-PBEsol.

Output
Formation energy (no corrections), meV per atom: -288
Density of states at the Fermi level, states/eV/cell: 5.07

a = 5.889 Å, b = 5.889 Å, c = 11.233 Å
α = 90.00°, β = 90.00°, γ = 90.00°
Space group P4/nbm (No. 125, origin choice 2)
One atom of each set of equivalent atoms:
Rb (0.250, 0.750, 0.000) [2 per cell]
Ag (0.049, 0.549, 0.312) [8 per cell]
Ag (0.250, 0.250, 0.500) [2 per cell]
Se (0.250, 0.250, 0.172) [4 per cell]
Se (0.250, 0.750, 0.500) [2 per cell]

No. 12
A relaxed structure of SrPbCl2. Source: Alexandria, functional GGA-PBEsol.

Output
Formation energy (no corrections), meV per atom: -747
Density of states at the Fermi level, states/eV/cell: 16.56
Relative energy among the computed polymorphs, meV/atom: 467

a = 7.603 Å, b = 7.603 Å, c = 7.603 Å
α = 90.00°, β = 90.00°, γ = 90.00°
Space group F-43m (No. 216)
One atom of each set of equivalent atoms:
Sr (0.000, 0.000, 0.000) [4 per cell]
Pb (0.250, 0.250, 0.250) [4 per cell]
Cl (0.000, 0.000, 0.500) [4 per cell]
Cl (0.250, 0.250, 0.750) [4 per cell]

No. 13
A relaxed structure of Li3AsOs. Source: Alexandria, functional GGA-PBEsol.

Output
ΔH_f (0 K), eV per atom: 0.9845
Density of states at the Fermi level, states/eV/cell: 5.73

a = 4.505 Å, b = 4.505 Å, c = 4.505 Å
α = 90.00°, β = 90.00°, γ = 90.00°
Space group Pm-3m (No. 221)
One atom of each set of equivalent atoms:
Li (0.000, 0.000, 0.500) [3 per cell]
As (0.000, 0.000, 0.000) [1 per cell]
Os (0.500, 0.500, 0.500) [1 per cell]

No. 14
A relaxed structure of SrTc2Rh. Source: Alexandria, functional GGA-PBEsol.

Output
ΔH_f (0 K), eV per atom: 0.5591
Density of states at the Fermi level, states/eV/cell: 9.72
Relative energy among the computed polymorphs, meV/atom: 0

a = 10.734 Å, b = 2.811 Å, c = 4.902 Å
α = 90.00°, β = 106.43°, γ = 90.00°
Space group C2/m (No. 12)
One atom of each set of equivalent atoms:
Sr (0.000, 0.000, 0.000) [2 per cell]
Tc (0.217, 0.000, 0.683) [4 per cell]
Rh (0.000, 0.500, 0.500) [2 per cell]

No. 15
A relaxed structure of BaSrNbPt2. Source: Alexandria, functional GGA-PBEsol.

Output
ΔH_f (0 K), eV per atom: 0.2409
Density of states at the Fermi level, states/eV/cell: 4.49

a = 5.047 Å, b = 5.047 Å, c = 5.310 Å
α = 90.00°, β = 90.00°, γ = 90.00°
Space group P4/mmm (No. 123)
One atom of each set of equivalent atoms:
Ba (0.000, 0.000, 0.000) [1 per cell]
Sr (0.500, 0.500, 0.000) [1 per cell]
Nb (0.500, 0.500, 0.500) [1 per cell]
Pt (0.000, 0.500, 0.500) [2 per cell]

No. 16
A relaxed structure of LaAlH2. Source: Alexandria, functional GGA-PBEsol.

Output
Density of states at the Fermi level, states/eV/cell: 3.72

a = 6.034 Å, b = 6.034 Å, c = 6.034 Å
α = 90.00°, β = 90.00°, γ = 90.00°
Space group Fm-3m (No. 225)
One atom of each set of equivalent atoms:
La (0.000, 0.000, 0.000) [4 per cell]
Al (0.000, 0.000, 0.500) [4 per cell]
H (0.250, 0.250, 0.250) [8 per cell]

No. 17
A relaxed structure of NiHgTe2. Source: Alexandria, functional GGA-PBEsol.

Output
Formation energy (no corrections), meV per atom: -68
Density of states at the Fermi level, states/eV/cell: 9.76

a = 6.180 Å, b = 6.180 Å, c = 11.553 Å
α = 90.00°, β = 90.00°, γ = 90.00°
Space group I-42d (No. 122)
One atom of each set of equivalent atoms:
Ni (0.000, 0.000, 0.000) [4 per cell]
Hg (0.000, 0.000, 0.500) [4 per cell]
Te (0.192, 0.250, 0.125) [8 per cell]

No. 18
A relaxed structure of Hg3PtSe. Source: Alexandria, functional GGA-PBEsol.

Output
Formation energy (no corrections), meV per atom: 927
Density of states at the Fermi level, states/eV/cell: 4.19

a = 5.132 Å, b = 5.132 Å, c = 5.132 Å
α = 90.00°, β = 90.00°, γ = 90.00°
Space group Pm-3m (No. 221)
One atom of each set of equivalent atoms:
Hg (0.000, 0.000, 0.500) [3 per cell]
Pt (0.500, 0.500, 0.500) [1 per cell]
Se (0.000, 0.000, 0.000) [1 per cell]

No. 19
A relaxed structure of KBa. Source: Alexandria, functional GGA-PBEsol.

Output
ΔH_f (0 K), eV per atom: 0.1048
Density of states at the Fermi level, states/eV/cell: 8.12

a = 4.4130 Å, b = 4.4130 Å, c = 22.7112 Å
α = 90.00°, β = 90.00°, γ = 120.00°
Space group R-3m (No. 166, hexagonal axes)
One atom of each set of equivalent atoms:
K (0.0000, 0.0000, 0.0000) [3 per cell]
Ba (0.0000, 0.0000, 0.5000) [3 per cell]

No. 20
A relaxed structure of Li2ZrSb. Source: Alexandria, functional GGA-PBEsol.

Output
Formation energy (no corrections), meV per atom: -210
Density of states at the Fermi level, states/eV/cell: 8.14

a = 4.040 Å, b = 4.040 Å, c = 10.071 Å
α = 90.00°, β = 90.00°, γ = 90.00°
Space group I4/mmm (No. 139)
One atom of each set of equivalent atoms:
Li (0.000, 0.500, 0.250) [4 per cell]
Zr (0.000, 0.000, 0.000) [2 per cell]
Sb (0.000, 0.000, 0.500) [2 per cell]

No. 21
A relaxed structure of Ba2SrCa. Source: Alexandria, functional GGA-PBEsol.

Output
ΔH_f (0 K), eV per atom: 0.0178
Density of states at the Fermi level, states/eV/cell: 4.64
Relative energy among the computed polymorphs, meV/atom: 2

a = 4.058 Å, b = 6.576 Å, c = 7.831 Å
α = 90.00°, β = 100.99°, γ = 90.00°
Space group P2/m (No. 10)
One atom of each set of equivalent atoms:
Ba (0.247, 0.000, 0.255) [2 per cell]
Sr (0.500, 0.500, 0.000) [1 per cell]
Ca (0.000, 0.500, 0.500) [1 per cell]

No. 22
A relaxed structure of AlSn2PH24C8. Source: Alexandria, functional GGA-PBEsol.

Output
Density of states at the Fermi level, states/eV/cell: 0.00

a = 9.477 Å, b = 9.859 Å, c = 10.079 Å
α = 77.57°, β = 80.87°, γ = 64.67°
Space group P-1 (No. 2)
One atom of each set of equivalent atoms:
Al (0.024, 0.135, 0.072) [2 per cell]
Sn (0.172, 0.154, 0.669) [2 per cell]
Sn (0.287, 0.687, 0.233) [2 per cell]
P (0.030, 0.881, 0.152) [2 per cell]
H (0.014, 0.704, 0.544) [2 per cell]
H (0.066, 0.094, 0.461) [2 per cell]
H (0.087, 0.447, 0.704) [2 per cell]
H (0.130, 0.707, 0.739) [2 per cell]
H (0.172, 0.592, 0.902) [2 per cell]
H (0.180, 0.474, 0.369) [2 per cell]
H (0.184, 0.198, 0.392) [2 per cell]
H (0.234, 0.243, 0.029) [2 per cell]
H (0.248, 0.438, 0.198) [2 per cell]
H (0.249, 0.745, 0.494) [2 per cell]
H (0.264, 0.326, 0.785) [2 per cell]
H (0.265, 0.719, 0.835) [2 per cell]
H (0.270, 0.385, 0.603) [2 per cell]
H (0.279, 0.092, 0.170) [2 per cell]
H (0.324, 0.052, 0.000) [2 per cell]
H (0.333, 0.863, 0.382) [2 per cell]
H (0.378, 0.862, 0.655) [2 per cell]
H (0.385, 0.382, 0.324) [2 per cell]
H (0.419, 0.921, 0.796) [2 per cell]
H (0.422, 0.416, 0.893) [2 per cell]
H (0.438, 0.662, 0.980) [2 per cell]
H (0.454, 0.667, 0.438) [2 per cell]
H (0.483, 0.983, 0.626) [2 per cell]
H (0.484, 0.786, 0.055) [2 per cell]
C (0.092, 0.189, 0.471) [2 per cell]
C (0.154, 0.706, 0.843) [2 per cell]
C (0.201, 0.352, 0.693) [2 per cell]
C (0.236, 0.129, 0.067) [2 per cell]
C (0.273, 0.469, 0.288) [2 per cell]
C (0.336, 0.748, 0.408) [2 per cell]
C (0.389, 0.956, 0.690) [2 per cell]
C (0.468, 0.679, 0.074) [2 per cell]

No. 23
A relaxed structure of Au3OF. Source: Alexandria, functional GGA-PBEsol.

Output
Formation energy (no corrections), meV per atom: 349
Density of states at the Fermi level, states/eV/cell: 3.33

a = 4.320 Å, b = 4.320 Å, c = 4.320 Å
α = 90.00°, β = 90.00°, γ = 90.00°
Space group Pm-3m (No. 221)
One atom of each set of equivalent atoms:
Au (0.000, 0.000, 0.500) [3 per cell]
O (0.000, 0.000, 0.000) [1 per cell]
F (0.500, 0.500, 0.500) [1 per cell]

Listing total magnetic moment for the structures above in their given order: 0.0; 0.0; 0.0; 0.0; 1.8; 0.0; 0.0; 8.0; 8.0; 0.0; 0.0; 5.5; 3.3; 0.0; 0.0; 0.0; 0.0; 0.0; 0.0; 0.3; 0.0; 0.0; 0.0 μB/cell.
Listing DFT total energy for the structures above in their given order: -4.107; -6.966; -1.902; -2.864; -3.549; -6.767; -4.849; -6.589; -4.957; -7.664; -3.524; -3.210; -3.660; -7.569; -5.507; -4.170; -3.512; -1.576; -1.536; -4.606; -2.050; -4.954; -3.441 eV/atom.